TaTe2As: optimized geometry, GGA-PBE.

abc: 3.1258 3.1258 10.5509
angles: 90.00 90.00 111.47
Closest atoms and distances in Å follow each position.
Atoms (fractional coordinates):
As (0.5000, 0.5000, 0.2500)  4 As 3.13, 4 Te 3.50
Te (0.0000, 0.0000, 0.5367)  2 Ta 2.86, 4 Te 3.13
Te (0.0000, 0.0000, 0.9633)  2 Ta 2.86, 4 Te 3.13
Ta (0.5000, 0.5000, 0.7500)  4 Te 2.86, 4 Ta 3.13

## Properties
ρ   8.846 g/cm³
Formation energy (no corrections)   0.410 eV/atom
Space group   Cmmm, No. 65
Crystal system   orthorhombic

MgSbAs2W: optimized geometry, GGA-PBE.

abc: 4.8457 5.3515 4.8457
angles: 90.00 90.00 90.00
Closest atoms and distances in Å follow each position.
Atoms (fractional coordinates):
W (0.0000, 0.0000, 0.0000)  4 As 2.42, 2 Mg 2.68
As (0.0000, 0.0000, 0.5000)  2 W 2.42
As (0.5000, 0.0000, 0.0000)  2 W 2.42
Sb (0.5000, 0.5000, 0.5000)  4 Mg 3.43, 8 As 3.61
Mg (0.0000, 0.5000, 0.0000)  2 W 2.68

## Properties
ρ   6.340 g/cm³
Formation energy (no corrections)   0.580 eV/atom
Space group   P4/mmm, No. 123
Crystal system   tetragonal

TaHgS2N: optimized geometry, GGA-PBE.

abc: 4.9307 4.9307 3.9472
angles: 90.00 90.00 90.00
Closest atoms and distances in Å follow each position.
Atoms (fractional coordinates):
S (0.5000, 0.0000, 0.0000)  2 Hg 2.47
S (0.0000, 0.5000, 0.0000)  2 Hg 2.47
Hg (0.0000, 0.0000, 0.0000)  2 N 1.97
Ta (0.5000, 0.5000, 0.5000)  8 S 3.16, 4 N 3.49
N (0.0000, 0.0000, 0.5000)  2 Hg 1.97

## Properties
ρ   7.954 g/cm³
Formation energy (no corrections)   1.783 eV/atom
Space group   P4/mmm, No. 123
Crystal system   tetragonal

Number 1: volume 23.983 A^3/atom. Number 2: volume 25.132 A^3/atom. Number 3: volume 19.193 A^3/atom.